(1)
4
Lattice="4.777 0.000 0.000 2.389 4.137 0.000 2.389 1.379 6.551" Properties=species:S:1:pos:R:3 comment="CsBiPd2 (PBE-GGA, relaxed)" final_energy_ev_per_atom=-4.034 spacegroup="R-3m, No. 166" ef_ev_per_fu=-1.02 pbc="T T T"
Cs 4.777 2.758 3.276
Bi 0.000 0.000 0.000
Pd 2.389 1.379 0.353
Pd 7.166 4.137 6.198



(2)
8
Lattice="8.233 0.000 0.000 0.000 8.233 0.000 4.116 4.116 4.176" Properties=species:S:1:pos:R:3 comment="CsBiPd2 (PBE-GGA, relaxed)" final_energy_ev_per_atom=-3.662 spacegroup="I-42d, No. 122" ef_ev_per_fu=0.47 pbc="T T T"
Cs 4.116 4.116 0.000
Cs 4.116 8.233 2.088
Bi 0.000 0.000 0.000
Bi 8.233 4.116 2.088
Pd 6.946 2.058 1.044
Pd 1.286 6.174 1.044
Pd 6.174 5.403 3.132
Pd 10.291 11.062 3.132



(3)
5
Lattice="-3.218 -1.605 5.426 1.061 -6.302 -1.234 4.614 0.228 2.804" Properties=species:S:1:pos:R:3 comment="CsRb2BiPd (PBE-GGA, relaxed)" final_energy_ev_per_atom=-2.527 spacegroup="P4/mmm, No. 123" ef_ev_per_fu=-0.77 pbc="T T T"
Cs 1.229 -3.839 3.498
Rb 0.531 -3.151 -0.617
Rb -1.609 -0.802 2.713
Bi 2.307 0.114 1.402
Pd 0.000 0.000 0.000